[1]
First-principles (SCAN) data for a crystal of CdOs3F relaxed with PBEsol, as listed in Alexandria.

Summary:
Raw formation energy ... 1.81 eV per atom
Energy ... -48.1130 eV per atom
Magnetization ... 3.34 μB per cell
Symmetry ... Pm-3m, No. 221

a b c (Å): 4.2226 4.2226 4.2226
angles (deg): 90.00 90.00 90.00
Last column: nearest neighbours and their distance in Å.
Fractional positions:
Cd 0.0000 0.0000 0.0000  12 Os 2.99
Os 0.0000 0.5000 0.5000  2 F 2.11
Os 0.5000 0.0000 0.5000  2 F 2.11
Os 0.5000 0.5000 0.0000  2 F 2.11
F 0.5000 0.5000 0.5000  6 Os 2.11

***

[2]
First-principles (SCAN) data for a crystal of CdOsF2 relaxed with PBEsol, as listed in Alexandria.

Summary:
Raw formation energy ... -0.25 eV per atom
Energy ... -27.5918 eV per atom
Magnetization ... 0.00 μB per cell
Symmetry ... R-3m, No. 166

a b c (Å): 8.7089 8.7089 8.7089
angles (deg): 17.81 17.81 17.81
Last column: nearest neighbours and their distance in Å.
Fractional positions:
Cd 0.0000 0.0000 0.0000  2 F 2.42, 6 Cd 2.70
Os 0.5000 0.5000 0.5000  6 F 2.43, 6 Os 2.70
F 0.0943 0.0943 0.0943  1 Cd 2.42, 3 Os 2.43, 6 F 2.70
F 0.9057 0.9057 0.9057  1 Cd 2.42, 3 Os 2.43, 6 F 2.70

***

[3]
First-principles (SCAN) data for a crystal of CdOsF3 relaxed with PBEsol, as listed in Alexandria.

Summary:
Raw formation energy ... -0.71 eV per atom
Energy ... -23.2935 eV per atom
Magnetization ... 0.60 μB per cell
Symmetry ... Pm-3m, No. 221

a b c (Å): 4.1572 4.1572 4.1572
angles (deg): 90.00 90.00 90.00
Last column: nearest neighbours and their distance in Å.
Fractional positions:
Cd 0.0000 0.0000 0.0000  12 F 2.94
Os 0.5000 0.5000 0.5000  6 F 2.08
F 0.0000 0.5000 0.5000  2 Os 2.08
F 0.5000 0.0000 0.5000  2 Os 2.08
F 0.5000 0.5000 0.0000  2 Os 2.08

***

[4]
First-principles (SCAN) data for a crystal of ScCd2OsF relaxed with PBEsol, as listed in Alexandria.

Summary:
Raw formation energy ... 0.32 eV per atom
Energy ... -29.7745 eV per atom
Magnetization ... 1.98 μB per cell
Symmetry ... P4/mmm, No. 123

a b c (Å): 5.2732 5.2732 3.6712
angles (deg): 90.00 90.00 90.00
Last column: nearest neighbours and their distance in Å.
Fractional positions:
Sc 0.0000 0.0000 0.0000  2 F 1.84
Cd 0.0000 0.5000 0.0000  2 Sc 2.64
Cd 0.5000 0.0000 0.0000  2 Sc 2.64
Os 0.5000 0.5000 0.5000  8 Cd 3.21
F 0.0000 0.0000 0.5000  2 Sc 1.84

***

[5]
First-principles (SCAN) data for a crystal of CdTc2OsF relaxed with PBEsol, as listed in Alexandria.

Summary:
Raw formation energy ... 0.91 eV per atom
Energy ... -34.2770 eV per atom
Magnetization ... 2.78 μB per cell
Symmetry ... P4/mmm, No. 123

a b c (Å): 4.7438 4.7438 3.8967
angles (deg): 90.00 90.00 90.00
Last column: nearest neighbours and their distance in Å.
Fractional positions:
Cd 0.0000 0.0000 0.0000  8 Tc 3.07, 4 F 3.35
Tc 0.0000 0.5000 0.5000  2 Os 2.37
Tc 0.5000 0.0000 0.5000  2 Os 2.37
Os 0.5000 0.5000 0.5000  2 F 1.95
F 0.5000 0.5000 0.0000  2 Os 1.95

***

[6]
First-principles (SCAN) data for a crystal of Cd2PF relaxed with PBEsol, as listed in Alexandria.

Summary:
Raw formation energy ... -0.84 eV per atom
Energy ... -19.5287 eV per atom
Magnetization ... 0.00 μB per cell
Symmetry ... I-42d, No. 122

a b c (Å): 7.2826 7.2826 7.2826
angles (deg): 137.35 137.35 61.90
Last column: nearest neighbours and their distance in Å.
Fractional positions:
Cd 0.1159 0.6250 0.9909  2 F 2.41, 2 P 2.46
Cd 0.3750 0.3659 0.4909  2 F 2.41, 2 P 2.46
Cd 0.6341 0.1250 0.0091  2 F 2.41, 2 P 2.46
Cd 0.8750 0.8841 0.5091  2 F 2.41, 2 P 2.46
P 0.2500 0.7500 0.5000  4 Cd 2.46
P 0.5000 0.5000 0.0000  4 Cd 2.46
F 0.0000 0.0000 0.0000  4 Cd 2.41
F 0.7500 0.2500 0.5000  4 Cd 2.41

***

Q: Among the records above, which one has the highest raw formation energy?
A: CdOs3F

***

Q: What is the energy in the fourth record?
A: -29.7745 eV per atom

***

Q: What is the energy in the fourth record?
A: -29.7745 eV per atom